[1]
# PBE AlFe2P, optimized geometry
# - Calculated formation energy: 0.048 eV/atom
# - Polymorph energy (0 for the lowest one): 446.6 meV per atom
# - DOS at the Fermi energy: 2.98 states/eV/f.u.
data_AlFe2P
_chemical_formula_sum 'Al4 Fe8 P4'
_space_group_name_H-M_alt 'I -4 2 d'
_space_group_IT_number 122
_space_group_name_Hall 'I -4 2bw'
_cell_length_a 6.5282
_cell_length_b 6.5282
_cell_length_c 4.9825
_cell_angle_alpha 90.00
_cell_angle_beta 90.00
_cell_angle_gamma 90.00
loop_
_atom_site_label
_atom_site_fract_x
_atom_site_fract_y
_atom_site_fract_z
Al1 0.0000 0.0000 0.0000
Fe1 0.1782 0.7500 0.6250
P1 0.0000 0.0000 0.5000

---

[2]
# PBE AlFe3P, optimized geometry
# - Calculated formation energy: 1.187 eV/atom
# - Polymorph energy (0 for the lowest one): 1062.0 meV per atom
# - DOS at the Fermi energy: 4.27 states/eV/f.u.
data_AlFe3P
_chemical_formula_sum 'Al1 Fe3 P1'
_space_group_name_H-M_alt 'P m -3 m'
_space_group_IT_number 221
_space_group_name_Hall '-P 4 2 3'
_cell_length_a 4.3208
_cell_length_b 4.3208
_cell_length_c 4.3208
_cell_angle_alpha 90.00
_cell_angle_beta 90.00
_cell_angle_gamma 90.00
loop_
_atom_site_label
_atom_site_fract_x
_atom_site_fract_y
_atom_site_fract_z
Al1 0.0000 0.0000 0.0000
Fe1 0.0000 0.0000 0.5000
P1 0.5000 0.5000 0.5000

---

[3]
# PBE Al9FeP2, optimized geometry
# - Calculated formation energy: 0.100 eV/atom
# - DOS at the Fermi energy: 4.79 states/eV/f.u.
data_Al9FeP2
_chemical_formula_sum 'Al9 Fe1 P2'
_space_group_name_H-M_alt 'P 6/m m m'
_space_group_IT_number 191
_space_group_name_Hall '-P 6 2'
_cell_length_a 8.8940
_cell_length_b 8.8940
_cell_length_c 2.7350
_cell_angle_alpha 90.00
_cell_angle_beta 90.00
_cell_angle_gamma 120.00
loop_
_atom_site_label
_atom_site_fract_x
_atom_site_fract_y
_atom_site_fract_z
Al1 0.0000 0.5000 0.0000
Al2 0.1680 0.3361 0.5000
Fe1 0.0000 0.0000 0.0000
P1 0.3333 0.6667 0.0000

---

[4]
# PBE AlFeP2, optimized geometry
# - Calculated formation energy: -0.028 eV/atom
# - DOS at the Fermi energy: 2.14 states/eV/f.u.
data_AlFeP2
_chemical_formula_sum 'Al1 Fe1 P2'
_space_group_name_H-M_alt 'P 4/m m m'
_space_group_IT_number 123
_space_group_name_Hall '-P 4 2'
_cell_length_a 2.8213
_cell_length_b 2.8213
_cell_length_c 6.6031
_cell_angle_alpha 90.00
_cell_angle_beta 90.00
_cell_angle_gamma 90.00
loop_
_atom_site_label
_atom_site_fract_x
_atom_site_fract_y
_atom_site_fract_z
Al1 0.0000 0.0000 0.0000
Fe1 0.0000 0.0000 0.5000
P1 0.5000 0.5000 0.2942